1.
This record from Alexandria describes a relaxed RbSrZn2W crystal. The functional is GGA-PBEsol.

Computed properties:
- ΔH_f (0 K) (meV/atom) = 888
- uncorrected energy (Ry/atom) = -0.2263
- symmetry = No. 123

Unit cell a=5.1038 b=5.1038 c=5.4507 alpha=90.00 beta=90.00 gamma=90.00
Sites, in units of the cell vectors:
1 Rb 0.0000 0.0000 0.0000
2 Sr 0.5000 0.5000 0.0000
3 Zn 0.0000 0.5000 0.5000
4 Zn 0.5000 0.0000 0.5000
5 W 0.5000 0.5000 0.5000


2.
This record from Alexandria describes a relaxed RbSrZn2 crystal. The functional is GGA-PBEsol.

Computed properties:
- ΔH_f (0 K) (meV/atom) = 205
- uncorrected energy (Ry/atom) = -0.0957
- symmetry = No. 225

Unit cell a=5.6224 b=5.6224 c=5.6224 alpha=60.00 beta=60.00 gamma=60.00
Sites, in units of the cell vectors:
1 Rb 0.0000 0.0000 0.0000
2 Sr 0.5000 0.5000 0.5000
3 Zn 0.2500 0.2500 0.2500
4 Zn 0.7500 0.7500 0.7500


3.
This record from Alexandria describes a relaxed Rb3Ta crystal. The functional is GGA-PBEsol.

Computed properties:
- ΔH_f (0 K) (meV/atom) = 1521
- uncorrected energy (Ry/atom) = -0.1753
- symmetry = No. 225

Unit cell a=6.4657 b=6.4657 c=6.4657 alpha=60.00 beta=60.00 gamma=60.00
Sites, in units of the cell vectors:
1 Rb 0.0000 0.0000 0.0000
2 Rb 0.2500 0.2500 0.2500
3 Rb 0.7500 0.7500 0.7500
4 Ta 0.5000 0.5000 0.5000